Computed, not measured: LiYCoF6 after structural relaxation at the PBE with a Hubbard U level of DFT.

Computed properties:
Mass density (Mg/m³): 3.74
Raw total energy (eV per cell): -106.3
Space group: No. 102
Magnetic moment (μB/f.u.): 3.000
N(E_F) (states/eV per atom): 0.00

abc: 4.935 4.935 9.806
angles: 90.00 90.00 90.00
Each line ends with the local moment (μB).
Atoms (fractional coordinates):
F: 0.686 0.686 0.669  0.03
F: 0.707 0.707 0.337  0.03
F: 0.200 0.800 0.493  0.03
F: 0.700 0.700 0.993  0.03
F: 0.300 0.300 0.993  0.03
F: 0.186 0.814 0.169  0.03
F: 0.793 0.207 0.837  0.03
F: 0.800 0.200 0.493  0.03
F: 0.814 0.186 0.169  0.03
F: 0.293 0.293 0.337  0.03
F: 0.207 0.793 0.837  0.03
F: 0.314 0.314 0.669  0.03
Li: 0.000 0.000 0.004  0.00
Li: 0.500 0.500 0.504  0.00
Co: 0.000 0.000 0.333  2.79
Co: 0.500 0.500 0.833  2.79
Y: 0.000 0.000 0.667  0.01
Y: 0.500 0.500 0.167  0.01